# Rb3Hg9Sb2

A relaxed Rb3Hg9Sb2 crystal (PBE-GGA, the Alexandria database).

Uncorrected energy: -1.17 eV/atom
SG: C2/m, No. 12
Formation energy from raw total energies: -177 meV/atom

POSCAR file:
```
Rb3Hg9Sb2
1.0
7.884 -5.936 0.000
7.884 5.936 0.000
-1.707 0.000 4.906
Rb Hg Sb
3 9 2
Cartesian
0.000 0.000 0.000
4.597 0.000 1.604
9.464 0.000 3.303
1.703 1.541 3.351
4.409 2.672 4.281
1.703 -1.541 3.351
9.652 2.672 0.625
7.884 0.000 0.000
4.409 -2.672 4.281
12.358 1.541 1.556
9.652 -2.672 0.625
12.358 -1.541 1.556
7.031 2.941 2.453
7.031 -2.941 2.453
```